# 1
Below is Mn6FeC after structural relaxation, with properties calculated at the PBE level.

The energy relative to the elements comes out at 0.05 eV per atom. The calculation puts the density of states at the Fermi level at 32.08 states/eV/cell.

Unit cell a=6.7476 b=6.7476 c=6.2232 alpha=90.00 beta=90.00 gamma=120.00
Space group R-3 (No. 148, hexagonal axes)
Asymmetric unit:
Mn (0.0546, 0.2554, 0.1734) [18 per cell]
Fe (0.0000, 0.0000, 0.5000) [3 per cell]
C (0.0000, 0.0000, 0.0000) [3 per cell]

# 2
Below is Mn5Fe5C4 after structural relaxation, with properties calculated at the PBE level.

The energy relative to the elements comes out at 0.01 eV per atom. The calculation puts the density of states at the Fermi level at 13.73 states/eV/cell.

Unit cell a=4.513 b=4.966 c=6.185 alpha=82.96 beta=69.59 gamma=89.97
Space group P1 (No. 1)
Asymmetric unit:
Mn (0.000, 0.000, 0.000) [1 per cell]
Mn (0.060, 0.557, 0.564) [1 per cell]
Mn (0.241, 0.057, 0.572) [1 per cell]
Mn (0.625, 0.444, 0.428) [1 per cell]
Mn (0.869, 0.502, 0.999) [1 per cell]
Fe (0.253, 0.334, 0.198) [1 per cell]
Fe (0.420, 0.832, 0.203) [1 per cell]
Fe (0.449, 0.671, 0.800) [1 per cell]
Fe (0.618, 0.167, 0.800) [1 per cell]
Fe (0.808, 0.945, 0.430) [1 per cell]
C (0.010, 0.673, 0.226) [1 per cell]
C (0.230, 0.330, 0.786) [1 per cell]
C (0.640, 0.172, 0.214) [1 per cell]
C (0.860, 0.827, 0.777) [1 per cell]

# 3
Below is Mn3Fe9C4 after structural relaxation, with properties calculated at the PBE level.

The energy relative to the elements comes out at 0.05 eV per atom. The calculation puts the density of states at the Fermi level at 16.13 states/eV/cell.

Unit cell a=4.476 b=5.017 c=6.742 alpha=89.94 beta=87.71 gamma=89.96
Space group P1 (No. 1)
Asymmetric unit:
Mn (0.000, 0.000, 0.000) [1 per cell]
Mn (0.165, 0.504, 0.624) [1 per cell]
Mn (0.669, 0.644, 0.491) [1 per cell]
Fe (0.000, 0.994, 0.634) [1 per cell]
Fe (0.160, 0.492, 0.989) [1 per cell]
Fe (0.167, 0.779, 0.310) [1 per cell]
Fe (0.493, 0.856, 0.812) [1 per cell]
Fe (0.498, 0.145, 0.137) [1 per cell]
Fe (0.500, 0.139, 0.503) [1 per cell]
Fe (0.656, 0.636, 0.125) [1 per cell]
Fe (0.668, 0.357, 0.812) [1 per cell]
Fe (0.991, 0.283, 0.314) [1 per cell]
C (0.267, 0.198, 0.805) [1 per cell]
C (0.393, 0.440, 0.325) [1 per cell]
C (0.768, 0.939, 0.300) [1 per cell]
C (0.895, 0.699, 0.822) [1 per cell]

# 4
Below is Mn2FeMoC after structural relaxation, with properties calculated at the PBE level.

The energy relative to the elements comes out at 0.03 eV per atom. The calculation puts the density of states at the Fermi level at 2.07 states/eV/cell.

Unit cell a=3.799 b=3.799 c=3.725 alpha=90.00 beta=90.00 gamma=90.00
Space group P4/mmm (No. 123)
Asymmetric unit:
Mn (0.000, 0.500, 0.000) [2 per cell]
Fe (0.000, 0.000, 0.500) [1 per cell]
Mo (0.500, 0.500, 0.500) [1 per cell]
C (0.000, 0.000, 0.000) [1 per cell]

# 5
Below is Mn2FeC6N6 after structural relaxation, with properties calculated at the PBE level.

The calculation puts the density of states at the Fermi level at 0.00 states/eV/cell. The uncorrected formation energy comes out at 164 meV/atom.

Unit cell a=6.0347 b=6.0347 c=6.4438 alpha=90.00 beta=90.00 gamma=120.00
Space group P-31m (No. 162)
Asymmetric unit:
Mn (0.3333, 0.6667, 0.0000) [2 per cell]
Fe (0.0000, 0.0000, 0.5000) [1 per cell]
C (0.0000, 0.2425, 0.6791) [6 per cell]
N (0.0000, 0.3815, 0.8096) [6 per cell]

# 6
Below is MnNbFe2C after structural relaxation, with properties calculated at the PBE level.

The energy relative to the elements comes out at -0.11 eV per atom. The calculation puts the density of states at the Fermi level at 2.56 states/eV/cell.

Unit cell a=3.773 b=3.773 c=3.854 alpha=90.00 beta=90.00 gamma=90.00
Space group P4/mmm (No. 123)
Asymmetric unit:
Mn (0.000, 0.000, 0.000) [1 per cell]
Nb (0.500, 0.500, 0.000) [1 per cell]
Fe (0.000, 0.500, 0.500) [2 per cell]
C (0.000, 0.000, 0.500) [1 per cell]

# 7
Below is Mn2NbFeC after structural relaxation, with properties calculated at the PBE level.

The energy relative to the elements comes out at -0.12 eV per atom. The calculation puts the density of states at the Fermi level at 4.59 states/eV/cell.

Unit cell a=3.835 b=3.835 c=3.773 alpha=90.00 beta=90.00 gamma=90.00
Space group P4/mmm (No. 123)
Asymmetric unit:
Mn (0.000, 0.500, 0.000) [2 per cell]
Nb (0.000, 0.000, 0.500) [1 per cell]
Fe (0.500, 0.500, 0.500) [1 per cell]
C (0.500, 0.500, 0.000) [1 per cell]

# 8
Below is MnFeNi2C after structural relaxation, with properties calculated at the PBE level.

The energy relative to the elements comes out at 0.08 eV per atom. The calculation puts the density of states at the Fermi level at 3.50 states/eV/cell.

Unit cell a=3.780 b=3.780 c=3.757 alpha=90.00 beta=90.00 gamma=90.00
Space group P4/mmm (No. 123)
Asymmetric unit:
Mn (0.000, 0.000, 0.000) [1 per cell]
Fe (0.500, 0.500, 0.000) [1 per cell]
Ni (0.000, 0.500, 0.500) [2 per cell]
C (0.500, 0.500, 0.500) [1 per cell]